{"formula": "SbAs2Pb6Cl3", "functional": "GGA-PBE", "state": "optimized geometry", "lattice_angstrom": [[3.8456, -6.6672, 0.0000], [3.8456, 6.6672, 0.0000], [-2.5806, 0.0000, 7.2235]], "species": ["Sb", "As", "As", "Pb", "Pb", "Pb", "Pb", "Pb", "Pb", "Cl", "Cl", "Cl"], "fractional_positions": [[0.0000, 0.0000, 0.0000], [0.3328, 0.6672, 0.0000], [0.6672, 0.3328, 0.0000], [0.0753, 0.4226, 0.2248], [0.2711, 0.2711, 0.7730], [0.4226, 0.0753, 0.2248], [0.5774, 0.9247, 0.7752], [0.7289, 0.7289, 0.2270], [0.9247, 0.5774, 0.7752], [0.1599, 0.8401, 0.5000], [0.5000, 0.5000, 0.5000], [0.8401, 0.1599, 0.5000]], "spacegroup": "C2/m (12)", "total_energy_ev_per_atom": -3.888, "total_magnetization_mub_per_fu": 0.00, "formation_energy_uncorrected_ev_per_atom": -0.4540}


{"formula": "Cu2IrBr", "functional": "GGA-PBE", "state": "optimized geometry", "lattice_angstrom": [[3.1353, 0.0000, 0.0000], [0.0000, 3.1353, 0.0000], [0.0000, 0.0000, 6.4257]], "species": ["Cu", "Cu", "Ir", "Br"], "fractional_positions": [[0.0000, 0.0000, 0.0000], [0.5000, 0.5000, 0.2121], [0.0000, 0.0000, 0.4042], [0.5000, 0.5000, 0.7224]], "e_above_lowest_polymorph_ev_per_atom": 0.175, "spacegroup": "P4mm (99)", "total_energy_ev_per_atom": -4.108, "total_magnetization_mub_per_fu": 0.00, "formation_energy_uncorrected_ev_per_atom": 0.5731}


{"formula": "Na2TmZrSe4", "functional": "GGA-PBE", "state": "optimized geometry", "lattice_angstrom": [[6.9093, 0.0000, 0.0000], [0.0000, 3.9532, 0.0000], [-2.2729, 0.0000, 7.0797]], "species": ["Na", "Na", "Tm", "Zr", "Se", "Se", "Se", "Se"], "fractional_positions": [[0.0000, 0.0000, 0.0000], [0.5000, 0.5000, 0.0000], [0.0000, 0.5000, 0.5000], [0.5000, 0.0000, 0.5000], [0.2497, 0.0000, 0.7283], [0.2642, 0.5000, 0.2740], [0.7358, 0.5000, 0.7260], [0.7503, 0.0000, 0.2717]], "spacegroup": "P2/m (10)", "total_energy_ev_per_atom": -5.178, "total_magnetization_mub_per_fu": 0.00, "formation_energy_uncorrected_ev_per_atom": -1.4783}


{"formula": "Ac2Sn5Pt3", "functional": "GGA-PBE", "state": "optimized geometry", "lattice_angstrom": [[-5.5459, 6.5973, 3.4134], [5.5459, -6.5973, 3.4134], [5.5459, 6.5973, -3.4134]], "species": ["Ac", "Ac", "Ac", "Ac", "Sn", "Sn", "Sn", "Sn", "Sn", "Sn", "Sn", "Sn", "Sn", "Sn", "Pt", "Pt", "Pt", "Pt", "Pt", "Pt"], "fractional_positions": [[0.1360, 0.2375, 0.3736], [0.3640, 0.7375, 0.1015], [0.6360, 0.2625, 0.8985], [0.8640, 0.7625, 0.6264], [0.0111, 0.7500, 0.2611], [0.0992, 0.6505, 0.7497], [0.2500, 0.2500, 0.0000], [0.4008, 0.1505, 0.5512], [0.4889, 0.7500, 0.7389], [0.5111, 0.2500, 0.2611], [0.5992, 0.8495, 0.4488], [0.7500, 0.7500, 0.0000], [0.9008, 0.3495, 0.2503], [0.9889, 0.2500, 0.7389], [0.1330, 0.8856, 0.0186], [0.2500, 0.7500, 0.5000], [0.3670, 0.3856, 0.7526], [0.6330, 0.6144, 0.2474], [0.7500, 0.2500, 0.5000], [0.8670, 0.1144, 0.9814]], "e_above_lowest_polymorph_ev_per_atom": 0.000, "formation_enthalpy_0k_ev_per_atom": -0.797, "spacegroup": "Ibam (72)", "total_energy_ev_per_atom": -5.433, "total_magnetization_mub_per_fu": 0.00}


{"formula": "TaIr2Br", "functional": "GGA-PBE", "state": "optimized geometry", "lattice_angstrom": [[-2.0717, 2.0717, 3.8972], [2.0717, -2.0717, 3.8972], [2.0717, 2.0717, -3.8972]], "species": ["Ta", "Ir", "Ir", "Br"], "fractional_positions": [[0.0000, 0.0000, 0.0000], [0.2500, 0.7500, 0.5000], [0.7500, 0.2500, 0.5000], [0.5000, 0.5000, 0.0000]], "e_above_lowest_polymorph_ev_per_atom": 0.591, "spacegroup": "I4/mmm (139)", "total_energy_ev_per_atom": -7.269, "total_magnetization_mub_per_fu": 0.00, "formation_energy_uncorrected_ev_per_atom": 0.5426}


{"formula": "Sr3Li3Al2", "functional": "GGA-PBE", "state": "optimized geometry", "lattice_angstrom": [[2.6882, -5.9866, 0.0000], [2.6882, 5.9866, 0.0000], [0.0000, 0.0000, 15.0248]], "species": ["Sr", "Sr", "Sr", "Sr", "Sr", "Sr", "Li", "Li", "Li", "Li", "Li", "Li", "Al", "Al", "Al", "Al"], "fractional_positions": [[0.0402, 0.9598, 0.7500], [0.1576, 0.8424, 0.0300], [0.1576, 0.8424, 0.4700], [0.8424, 0.1576, 0.5300], [0.8424, 0.1576, 0.9700], [0.9598, 0.0402, 0.2500], [0.2588, 0.7412, 0.2500], [0.4614, 0.5386, 0.0965], [0.4614, 0.5386, 0.4035], [0.5386, 0.4614, 0.5965], [0.5386, 0.4614, 0.9035], [0.7412, 0.2588, 0.7500], [0.3134, 0.6866, 0.6624], [0.3134, 0.6866, 0.8376], [0.6866, 0.3134, 0.1624], [0.6866, 0.3134, 0.3376]], "formation_enthalpy_0k_ev_per_atom": -0.009, "spacegroup": "Cmcm (63)", "total_energy_ev_per_atom": -2.293, "total_magnetization_mub_per_fu": 0.00}


Please write out number 4 again, unchanged.
{"formula": "Ac2Sn5Pt3", "functional": "GGA-PBE", "state": "optimized geometry", "lattice_angstrom": [[-5.5459, 6.5973, 3.4134], [5.5459, -6.5973, 3.4134], [5.5459, 6.5973, -3.4134]], "species": ["Ac", "Ac", "Ac", "Ac", "Sn", "Sn", "Sn", "Sn", "Sn", "Sn", "Sn", "Sn", "Sn", "Sn", "Pt", "Pt", "Pt", "Pt", "Pt", "Pt"], "fractional_positions": [[0.1360, 0.2375, 0.3736], [0.3640, 0.7375, 0.1015], [0.6360, 0.2625, 0.8985], [0.8640, 0.7625, 0.6264], [0.0111, 0.7500, 0.2611], [0.0992, 0.6505, 0.7497], [0.2500, 0.2500, 0.0000], [0.4008, 0.1505, 0.5512], [0.4889, 0.7500, 0.7389], [0.5111, 0.2500, 0.2611], [0.5992, 0.8495, 0.4488], [0.7500, 0.7500, 0.0000], [0.9008, 0.3495, 0.2503], [0.9889, 0.2500, 0.7389], [0.1330, 0.8856, 0.0186], [0.2500, 0.7500, 0.5000], [0.3670, 0.3856, 0.7526], [0.6330, 0.6144, 0.2474], [0.7500, 0.2500, 0.5000], [0.8670, 0.1144, 0.9814]], "e_above_lowest_polymorph_ev_per_atom": 0.000, "formation_enthalpy_0k_ev_per_atom": -0.797, "spacegroup": "Ibam (72)", "total_energy_ev_per_atom": -5.433, "total_magnetization_mub_per_fu": 0.00}


> Number 6 is which compound?

Sr3Li3Al2